1.
A plane-wave DFT calculation with GGA-PBE was carried out for InW3Cl after structural relaxation.

Cell and atoms, written as CIF:
```
data_InW3Cl
_chemical_formula_sum 'In1 W3 Cl1'
_cell_length_a 4.990
_cell_length_b 4.990
_cell_length_c 4.990
_cell_angle_alpha 90.00
_cell_angle_beta 90.00
_cell_angle_gamma 90.00
_space_group_name_H-M_alt 'P m -3 m'
_space_group_IT_number 221
_space_group_name_Hall '-P 4 2 3'
loop_
_atom_site_label
_atom_site_fract_x
_atom_site_fract_y
_atom_site_fract_z
In1 0.000 0.000 0.000
W1 0.000 0.000 0.500
Cl1 0.500 0.500 0.500
```

Total magnetic moment, μB per atom: 0.000
Offset from the most stable computed form, eV/atom: 1.811
Raw formation energy, kcal/mol of atoms: 75.9
Crystal system: cubic
Theoretical density, g/cm3: 9.4

2.
A plane-wave DFT calculation with GGA-PBE was carried out for In2WCl after structural relaxation.

Cell and atoms, written as CIF:
```
data_In2WCl
_chemical_formula_sum 'In4 W2 Cl2'
_cell_length_a 10.914
_cell_length_b 3.017
_cell_length_c 5.326
_cell_angle_alpha 90.00
_cell_angle_beta 108.18
_cell_angle_gamma 90.00
_space_group_name_H-M_alt 'C 1 m 1'
_space_group_IT_number 8
loop_
_space_group_symop_operation_xyz
'x,y,z'
'x,-y,z'
'x+1/2,y+1/2,z'
'x+1/2,-y+1/2,z'
loop_
_atom_site_label
_atom_site_fract_x
_atom_site_fract_y
_atom_site_fract_z
In1 0.000 0.000 0.000
In2 0.197 0.000 0.628
W1 0.454 0.000 0.508
Cl1 0.289 0.500 0.210
```

Total magnetic moment, μB per atom: 0.000
Offset from the most stable computed form, eV/atom: 0.080
Raw formation energy, kcal/mol of atoms: 6.5
Crystal system: monoclinic
Theoretical density, g/cm3: 8.9

3.
A plane-wave DFT calculation with GGA-PBE was carried out for InWCl2 after structural relaxation.

Cell and atoms, written as CIF:
```
data_InWCl2
_chemical_formula_sum 'In2 W2 Cl4'
_cell_length_a 3.176
_cell_length_b 5.832
_cell_length_c 9.738
_cell_angle_alpha 90.00
_cell_angle_beta 90.00
_cell_angle_gamma 90.00
_space_group_name_H-M_alt 'C m m 2'
_space_group_IT_number 35
loop_
_space_group_symop_operation_xyz
'x,y,z'
'-x,-y,z'
'-x,y,z'
'x,-y,z'
'x+1/2,y+1/2,z'
'-x+1/2,-y+1/2,z'
'-x+1/2,y+1/2,z'
'x+1/2,-y+1/2,z'
loop_
_atom_site_label
_atom_site_fract_x
_atom_site_fract_y
_atom_site_fract_z
In1 0.000 0.000 0.000
W1 0.000 0.500 0.238
Cl1 0.000 0.000 0.425
Cl2 0.000 0.500 0.790
```

Total magnetic moment, μB per atom: 0.215
Offset from the most stable computed form, eV/atom: 0.108
Raw formation energy, kcal/mol of atoms: 1.4
Crystal system: orthorhombic
Theoretical density, g/cm3: 6.8

4.
A plane-wave DFT calculation with GGA-PBE was carried out for InW2Cl after structural relaxation.

Cell and atoms, written as CIF:
```
data_InW2Cl
_chemical_formula_sum 'In4 W8 Cl4'
_cell_length_a 6.521
_cell_length_b 6.521
_cell_length_c 6.521
_cell_angle_alpha 90.00
_cell_angle_beta 90.00
_cell_angle_gamma 90.00
_space_group_name_H-M_alt 'F m -3 m'
_space_group_IT_number 225
_space_group_name_Hall '-F 4 2 3'
loop_
_atom_site_label
_atom_site_fract_x
_atom_site_fract_y
_atom_site_fract_z
In1 0.000 0.000 0.000
W1 0.250 0.250 0.250
Cl1 0.000 0.000 0.500
```

Total magnetic moment, μB per atom: 0.324
Offset from the most stable computed form, eV/atom: 1.173
Raw formation energy, kcal/mol of atoms: 30.9
Crystal system: cubic
Theoretical density, g/cm3: 12.4

5.
A plane-wave DFT calculation with GGA-PBE was carried out for InW2Cl after structural relaxation.

Cell and atoms, written as CIF:
```
data_InW2Cl
_chemical_formula_sum 'In2 W4 Cl2'
_cell_length_a 11.095
_cell_length_b 3.017
_cell_length_c 5.467
_cell_angle_alpha 90.00
_cell_angle_beta 118.00
_cell_angle_gamma 90.00
_space_group_name_H-M_alt 'C 1 m 1'
_space_group_IT_number 8
loop_
_space_group_symop_operation_xyz
'x,y,z'
'x,-y,z'
'x+1/2,y+1/2,z'
'x+1/2,-y+1/2,z'
loop_
_atom_site_label
_atom_site_fract_x
_atom_site_fract_y
_atom_site_fract_z
In1 0.000 0.000 0.000
W1 0.053 0.500 0.539
W2 0.241 0.000 0.588
Cl1 0.312 0.500 0.297
```

Total magnetic moment, μB per atom: 0.000
Offset from the most stable computed form, eV/atom: 0.549
Raw formation energy, kcal/mol of atoms: 16.5
Crystal system: monoclinic
Theoretical density, g/cm3: 10.6

6.
A plane-wave DFT calculation with GGA-PBE was carried out for InW2Cl after structural relaxation.

Cell and atoms, written as CIF:
```
data_InW2Cl
_chemical_formula_sum 'In1 W2 Cl1'
_cell_length_a 3.085
_cell_length_b 4.216
_cell_length_c 6.617
_cell_angle_alpha 90.00
_cell_angle_beta 90.00
_cell_angle_gamma 90.00
_space_group_name_H-M_alt 'P m m m'
_space_group_IT_number 47
loop_
_space_group_symop_operation_xyz
'x,y,z'
'-x,-y,-z'
'-x,-y,z'
'x,y,-z'
'x,-y,-z'
'-x,y,z'
'-x,y,-z'
'x,-y,z'
loop_
_atom_site_label
_atom_site_fract_x
_atom_site_fract_y
_atom_site_fract_z
In1 0.000 0.000 0.000
W1 0.500 0.500 0.178
Cl1 0.000 0.000 0.500
```

Total magnetic moment, μB per atom: 0.000
Offset from the most stable computed form, eV/atom: 0.973
Raw formation energy, kcal/mol of atoms: 26.3
Crystal system: orthorhombic
Theoretical density, g/cm3: 10.0

7.
A plane-wave DFT calculation with GGA-PBE was carried out for InW2Cl after structural relaxation.

Cell and atoms, written as CIF:
```
data_InW2Cl
_chemical_formula_sum 'In1 W2 Cl1'
_cell_length_a 3.947
_cell_length_b 3.947
_cell_length_c 4.739
_cell_angle_alpha 90.00
_cell_angle_beta 90.00
_cell_angle_gamma 90.00
_space_group_name_H-M_alt 'P 4/m m m'
_space_group_IT_number 123
_space_group_name_Hall '-P 4 2'
loop_
_atom_site_label
_atom_site_fract_x
_atom_site_fract_y
_atom_site_fract_z
In1 0.000 0.000 0.000
W1 0.000 0.500 0.500
Cl1 0.500 0.500 0.000
```

Total magnetic moment, μB per atom: 0.000
Offset from the most stable computed form, eV/atom: 1.182
Raw formation energy, kcal/mol of atoms: 31.1
Crystal system: tetragonal
Theoretical density, g/cm3: 11.6

8.
A plane-wave DFT calculation with GGA-PBE was carried out for InW2Cl after structural relaxation.

Cell and atoms, written as CIF:
```
data_InW2Cl
_chemical_formula_sum 'In3 W6 Cl3'
_cell_length_a 2.9501
_cell_length_b 2.9501
_cell_length_c 27.4214
_cell_angle_alpha 90.00
_cell_angle_beta 90.00
_cell_angle_gamma 120.00
_space_group_name_H-M_alt 'R -3 m'
_space_group_IT_number 166
_space_group_name_Hall '-R 3 2"'
loop_
_atom_site_label
_atom_site_fract_x
_atom_site_fract_y
_atom_site_fract_z
In1 0.0000 0.0000 0.0000
W1 0.0000 0.0000 0.2448
Cl1 0.0000 0.0000 0.5000
```

Total magnetic moment, μB per atom: 0.000
Offset from the most stable computed form, eV/atom: 0.628
Raw formation energy, kcal/mol of atoms: 18.3
Crystal system: trigonal
Theoretical density, g/cm3: 12.5

9.
A plane-wave DFT calculation with GGA-PBE was carried out for InWCl2 after structural relaxation.

Cell and atoms, written as CIF:
```
data_InWCl2
_chemical_formula_sum 'In1 W1 Cl2'
_cell_length_a 3.037
_cell_length_b 3.037
_cell_length_c 10.574
_cell_angle_alpha 90.00
_cell_angle_beta 90.00
_cell_angle_gamma 90.00
_space_group_name_H-M_alt 'P 4/m m m'
_space_group_IT_number 123
_space_group_name_Hall '-P 4 2'
loop_
_atom_site_label
_atom_site_fract_x
_atom_site_fract_y
_atom_site_fract_z
In1 0.000 0.000 0.000
W1 0.000 0.000 0.500
Cl1 0.500 0.500 0.360
```

Total magnetic moment, μB per atom: 0.055
Offset from the most stable computed form, eV/atom: 0.461
Raw formation energy, kcal/mol of atoms: 9.6
Crystal system: tetragonal
Theoretical density, g/cm3: 6.3

10.
A plane-wave DFT calculation with GGA-PBE was carried out for InWCl after structural relaxation.

Cell and atoms, written as CIF:
```
data_InWCl
_chemical_formula_sum 'In1 W1 Cl1'
_cell_length_a 4.6445
_cell_length_b 4.6445
_cell_length_c 2.9639
_cell_angle_alpha 90.00
_cell_angle_beta 90.00
_cell_angle_gamma 120.00
_space_group_name_H-M_alt 'P -6 m 2'
_space_group_IT_number 187
_space_group_name_Hall 'P -6 2'
loop_
_atom_site_label
_atom_site_fract_x
_atom_site_fract_y
_atom_site_fract_z
In1 0.0000 0.0000 0.0000
W1 0.6667 0.3333 0.5000
Cl1 0.3333 0.6667 0.5000
```

Total magnetic moment, μB per atom: 0.056
Offset from the most stable computed form, eV/atom: 0.425
Raw formation energy, kcal/mol of atoms: 16.1
Crystal system: hexagonal
Theoretical density, g/cm3: 10.0

11.
A plane-wave DFT calculation with GGA-PBE was carried out for InWCl2 after structural relaxation.

Cell and atoms, written as CIF:
```
data_InWCl2
_chemical_formula_sum 'In1 W1 Cl2'
_cell_length_a 3.108
_cell_length_b 3.108
_cell_length_c 8.637
_cell_angle_alpha 90.00
_cell_angle_beta 90.00
_cell_angle_gamma 90.00
_space_group_name_H-M_alt 'P 4 m m'
_space_group_IT_number 99
loop_
_space_group_symop_operation_xyz
'x,y,z'
'-y,x,z'
'-x,-y,z'
'y,-x,z'
'-x,y,z'
'y,x,z'
'x,-y,z'
'-y,-x,z'
loop_
_atom_site_label
_atom_site_fract_x
_atom_site_fract_y
_atom_site_fract_z
In1 0.000 0.000 0.000
W1 0.500 0.500 0.229
Cl1 0.000 0.000 0.403
Cl2 0.500 0.500 0.783
```

Total magnetic moment, μB per atom: 0.150
Offset from the most stable computed form, eV/atom: 0.223
Raw formation energy, kcal/mol of atoms: 4.1
Crystal system: tetragonal
Theoretical density, g/cm3: 7.4

12.
A plane-wave DFT calculation with GGA-PBE was carried out for InW2Cl after structural relaxation.

Cell and atoms, written as CIF:
```
data_InW2Cl
_chemical_formula_sum 'In2 W4 Cl2'
_cell_length_a 3.254
_cell_length_b 4.813
_cell_length_c 11.654
_cell_angle_alpha 90.00
_cell_angle_beta 90.00
_cell_angle_gamma 90.00
_space_group_name_H-M_alt 'I m m 2'
_space_group_IT_number 44
loop_
_space_group_symop_operation_xyz
'x,y,z'
'-x,-y,z'
'-x,y,z'
'x,-y,z'
'x+1/2,y+1/2,z+1/2'
'-x+1/2,-y+1/2,z+1/2'
'-x+1/2,y+1/2,z+1/2'
'x+1/2,-y+1/2,z+1/2'
loop_
_atom_site_label
_atom_site_fract_x
_atom_site_fract_y
_atom_site_fract_z
In1 0.000 0.000 0.000
W1 0.000 0.000 0.473
W2 0.000 0.500 0.127
Cl1 0.000 0.500 0.774
```

Total magnetic moment, μB per atom: 0.000
Offset from the most stable computed form, eV/atom: 0.536
Raw formation energy, kcal/mol of atoms: 16.2
Crystal system: orthorhombic
Theoretical density, g/cm3: 9.4

13.
A plane-wave DFT calculation with GGA-PBE was carried out for In3WCl after structural relaxation.

Cell and atoms, written as CIF:
```
data_In3WCl
_chemical_formula_sum 'In3 W1 Cl1'
_cell_length_a 5.428
_cell_length_b 5.428
_cell_length_c 5.428
_cell_angle_alpha 90.00
_cell_angle_beta 90.00
_cell_angle_gamma 90.00
_space_group_name_H-M_alt 'P m -3 m'
_space_group_IT_number 221
_space_group_name_Hall '-P 4 2 3'
loop_
_atom_site_label
_atom_site_fract_x
_atom_site_fract_y
_atom_site_fract_z
In1 0.000 0.000 0.500
W1 0.000 0.000 0.000
Cl1 0.500 0.500 0.500
```

Total magnetic moment, μB per atom: 0.530
Offset from the most stable computed form, eV/atom: 0.000
Raw formation energy, kcal/mol of atoms: 12.8
Crystal system: cubic
Theoretical density, g/cm3: 5.9

14.
A plane-wave DFT calculation with GGA-PBE was carried out for InW2Cl after structural relaxation.

Cell and atoms, written as CIF:
```
data_InW2Cl
_chemical_formula_sum 'In1 W2 Cl1'
_cell_length_a 3.130
_cell_length_b 3.130
_cell_length_c 8.307
_cell_angle_alpha 90.00
_cell_angle_beta 90.00
_cell_angle_gamma 90.00
_space_group_name_H-M_alt 'P 4 m m'
_space_group_IT_number 99
loop_
_space_group_symop_operation_xyz
'x,y,z'
'-y,x,z'
'-x,-y,z'
'y,-x,z'
'-x,y,z'
'y,x,z'
'x,-y,z'
'-y,-x,z'
loop_
_atom_site_label
_atom_site_fract_x
_atom_site_fract_y
_atom_site_fract_z
In1 0.000 0.000 0.000
W1 0.000 0.000 0.412
W2 0.500 0.500 0.233
Cl1 0.500 0.500 0.636
```

Total magnetic moment, μB per atom: 0.000
Offset from the most stable computed form, eV/atom: 0.208
Raw formation energy, kcal/mol of atoms: 8.7
Crystal system: tetragonal
Theoretical density, g/cm3: 10.6

15.
A plane-wave DFT calculation with GGA-PBE was carried out for InWCl2 after structural relaxation.

Cell and atoms, written as CIF:
```
data_InWCl2
_chemical_formula_sum 'In2 W2 Cl4'
_cell_length_a 10.907
_cell_length_b 3.033
_cell_length_c 6.957
_cell_angle_alpha 90.00
_cell_angle_beta 114.43
_cell_angle_gamma 90.00
_space_group_name_H-M_alt 'C 1 m 1'
_space_group_IT_number 8
loop_
_space_group_symop_operation_xyz
'x,y,z'
'x,-y,z'
'x+1/2,y+1/2,z'
'x+1/2,-y+1/2,z'
loop_
_atom_site_label
_atom_site_fract_x
_atom_site_fract_y
_atom_site_fract_z
In1 0.000 0.000 0.000
W1 0.268 0.000 0.000
Cl1 0.161 0.500 0.696
Cl2 0.322 0.500 0.304
```

Total magnetic moment, μB per atom: 0.289
Offset from the most stable computed form, eV/atom: 0.000
Raw formation energy, kcal/mol of atoms: -1.1
Crystal system: monoclinic
Theoretical density, g/cm3: 5.9